# Sr8In4Cu3N5 | Alexandria | SCAN | single point on PBEsol structure
data_Sr8In4Cu3N5
_chemical_formula_sum 'Sr8 In4 Cu3 N5'
_cell_length_a 3.7557
_cell_length_b 11.3898
_cell_length_c 11.3898
_cell_angle_alpha 65.66
_cell_angle_beta 80.51
_cell_angle_gamma 80.51
_space_group_name_H-M_alt 'P 1'
_space_group_IT_number 1
loop_
_space_group_symop_operation_xyz
'x,y,z'
loop_
_atom_site_label
_atom_site_fract_x
_atom_site_fract_y
_atom_site_fract_z
Sr1 0.2899 0.5619 0.8583
N1 0.3052 0.0441 0.3456
N2 0.6948 0.9559 0.6544
N3 0.0000 0.0000 0.0000
N4 0.3052 0.3456 0.0441
Sr2 0.0981 0.0533 0.7505
Sr3 0.9019 0.2495 0.9467
Sr4 0.7101 0.1417 0.4381
Sr5 0.9019 0.9467 0.2495
N5 0.6948 0.6544 0.9559
Sr6 0.0981 0.7505 0.0533
Sr7 0.2899 0.8583 0.5619
In1 0.5000 0.6546 0.3454
Cu1 0.6929 0.8071 0.8071
In2 0.5000 0.3454 0.6546
In3 0.0824 0.4176 0.4176
In4 0.9176 0.5824 0.5824
Sr8 0.7101 0.4381 0.1417
Cu2 0.3071 0.1929 0.1929
Cu3 0.5000 0.0000 0.0000
# - N(E_F): 3.1 states/eV/f.u.
# - Final energy: -20.83 eV per atom
# - Energy relative to the elements, uncorrected: -0.644 eV/atom
# - Space group: Immm (71)

=====

# YInRh2 | Alexandria | SCAN | single point on PBEsol structure
data_YInRh2
_chemical_formula_sum 'Y1 In1 Rh2'
_cell_length_a 3.3315
_cell_length_b 3.3331
_cell_length_c 6.3581
_cell_angle_alpha 90.00
_cell_angle_beta 90.00
_cell_angle_gamma 90.00
_space_group_name_H-M_alt 'P 1'
_space_group_IT_number 1
loop_
_space_group_symop_operation_xyz
'x,y,z'
loop_
_atom_site_label
_atom_site_fract_x
_atom_site_fract_y
_atom_site_fract_z
Y1 0.5000 0.5000 0.0000
Rh1 0.0000 0.0000 0.2654
In1 0.5000 0.5000 0.5000
Rh2 0.0000 0.0000 0.7346
# - N(E_F): 1.9 states/eV/f.u.
# - Final energy: -32.92 eV per atom
# - Space group: P4/mmm (123)

=====

# BaFeP2 | Alexandria | SCAN | single point on PBEsol structure
data_BaFeP2
_chemical_formula_sum 'Ba1 Fe1 P2'
_cell_length_a 3.8602
_cell_length_b 3.8602
_cell_length_c 6.0984
_cell_angle_alpha 71.55
_cell_angle_beta 71.55
_cell_angle_gamma 60.00
_space_group_name_H-M_alt 'P 1'
_space_group_IT_number 1
loop_
_space_group_symop_operation_xyz
'x,y,z'
loop_
_atom_site_label
_atom_site_fract_x
_atom_site_fract_y
_atom_site_fract_z
Fe1 0.0000 0.0000 0.0000
Ba1 0.5000 0.5000 0.5000
P1 0.7016 0.7016 0.8952
P2 0.2984 0.2984 0.1048
# - N(E_F): 2.0 states/eV/f.u.
# - Final energy: -20.12 eV per atom
# - ΔE to the lowest computed polymorph: 0 meV per atom
# - Space group: R-3m (166)

=====

# Ba2BeMo | Alexandria | SCAN | single point on PBEsol structure
data_Ba2BeMo
_chemical_formula_sum 'Ba2 Be1 Mo1'
_cell_length_a 5.2877
_cell_length_b 5.2877
_cell_length_c 5.2877
_cell_angle_alpha 60.00
_cell_angle_beta 60.00
_cell_angle_gamma 60.00
_space_group_name_H-M_alt 'P 1'
_space_group_IT_number 1
loop_
_space_group_symop_operation_xyz
'x,y,z'
loop_
_atom_site_label
_atom_site_fract_x
_atom_site_fract_y
_atom_site_fract_z
Ba1 0.7500 0.7500 0.7500
Mo1 0.2500 0.2500 0.2500
Be1 0.5000 0.5000 0.5000
Ba2 0.0000 0.0000 0.0000
# - N(E_F): 2.4 states/eV/f.u.
# - Final energy: -28.50 eV per atom
# - Space group: F-43m (216)